# HfTe2N

A relaxed HfTe2N crystal (PBEsol, the Alexandria database).

Cell: 5.8952 5.8952 6.9873 Å, 114.95 114.95 90.00°
With the nearest neighbours (Å) after each atom.
Fractional coordinates of all 8 atoms:
N 0.7500 0.2500 0.5000  4 Te 2.29
N 0.5000 0.5000 0.0000  4 Te 2.29
Hf 0.2500 0.7500 0.5000  4 Te 2.78
Hf 0.0000 0.0000 0.0000  4 Te 2.78
Te 0.4458 0.8750 0.2500  2 N 2.29
Te 0.1250 0.1958 0.7500  2 N 2.29
Te 0.6250 0.5542 0.7500  2 N 2.29
Te 0.8042 0.3750 0.2500  2 N 2.29

Output
Theoretical density   7.63 g/cm3
ΔE_f (raw)   0.6598 eV/atom
D(E_F)   0.8592 states/eV/atom